Entry from Alexandria: a relaxed USN crystal (PBE).

Properties
size of the total moment: 1.01 μB per formula unit
DFT total energy: -8.729 eV/atom
formation energy without anion corrections: -0.816 eV/atom
energy relative to the lowest polymorph listed for this composition: 0.665 eV per atom

a = 5.882 Å, b = 5.882 Å, c = 5.882 Å
α = 90.00°, β = 90.00°, γ = 90.00°
Space group F-43m (No. 216)
Symmetry-distinct sites (fractional):
U1 0.000 0.000 0.000 x4
S1 0.250 0.250 0.750 x4
N1 0.250 0.250 0.250 x4